Computed, not measured: NpCu2RhO6 after structural relaxation at the PBE level of DFT.

Cell: 5.7365 5.7365 5.7365 Å, 54.72 54.72 54.72°
Closest atoms and distances in Å follow each position.
Fractional coordinates of all 10 atoms:
Np  0.0000  0.0000  0.0000  6 O 2.10
Cu  0.2520  0.2520  0.2520  3 O 1.94
Cu  0.7480  0.7480  0.7480  3 O 1.94
Rh  0.5000  0.5000  0.5000  6 O 2.04
O  0.1212  0.3874  0.7476  1 Cu 1.94, 1 Rh 2.04, 1 Np 2.10
O  0.2524  0.8788  0.6126  1 Cu 1.94, 1 Rh 2.04, 1 Np 2.10
O  0.3874  0.7476  0.1212  1 Cu 1.94, 1 Rh 2.04, 1 Np 2.10
O  0.6126  0.2524  0.8788  1 Cu 1.94, 1 Rh 2.04, 1 Np 2.10
O  0.7476  0.1212  0.3874  1 Cu 1.94, 1 Rh 2.04, 1 Np 2.10
O  0.8788  0.6126  0.2524  1 Cu 1.94, 1 Rh 2.04, 1 Np 2.10

Crystal system: trigonal
Energy relative to the elements, uncorrected: -1.3946 eV per atom
Density: 7.99 g/cm3

=====

Computed, not measured: NpCu2RuO8 after structural relaxation at the PBE level of DFT.

Cell: 4.6660 6.3121 4.6685 Å, 90.00 92.00 90.00°
Closest atoms and distances in Å follow each position.
Fractional coordinates of all 12 atoms:
Np  0.0000  0.0000  0.0000  6 O 1.94-2.11
Cu  0.5000  0.2636  0.5000  6 O 2.03-2.11
Cu  0.5000  0.7364  0.5000  6 O 2.03-2.11
Ru  0.0000  0.5000  0.0000  6 O 1.84-2.02
O  0.1991  0.2585  0.8023  1 Ru 2.02, 1 Cu 2.03, 1 Np 2.11
O  0.1991  0.7415  0.8023  1 Ru 2.02, 1 Cu 2.03, 1 Np 2.11
O  0.2824  0.5000  0.2843  1 Ru 1.84, 2 Cu 2.05
O  0.2990  0.0000  0.3000  1 Np 1.94, 2 Cu 2.11
O  0.7010  0.0000  0.7000  1 Np 1.94, 2 Cu 2.11
O  0.7176  0.5000  0.7157  1 Ru 1.84, 2 Cu 2.05
O  0.8009  0.2585  0.1977  1 Ru 2.02, 1 Cu 2.03, 1 Np 2.11
O  0.8009  0.7415  0.1977  1 Ru 2.02, 1 Cu 2.03, 1 Np 2.11

Crystal system: monoclinic
Energy relative to the elements, uncorrected: -1.3461 eV per atom
Density: 7.17 g/cm3

=====

Computed, not measured: NpCu2RuO6 after structural relaxation at the PBE level of DFT.

Cell: 5.7504 5.7504 5.7504 Å, 54.64 54.64 54.64°
Closest atoms and distances in Å follow each position.
Fractional coordinates of all 10 atoms:
Np  0.0000  0.0000  0.0000  6 O 2.13
Cu  0.2521  0.2521  0.2521  3 O 1.95
Cu  0.7479  0.7479  0.7479  3 O 1.95
Ru  0.5000  0.5000  0.5000  6 O 2.02
O  0.1263  0.3886  0.7430  1 Cu 1.95, 1 Ru 2.02, 1 Np 2.13
O  0.2570  0.8737  0.6114  1 Cu 1.95, 1 Ru 2.02, 1 Np 2.13
O  0.3886  0.7430  0.1263  1 Cu 1.95, 1 Ru 2.02, 1 Np 2.13
O  0.6114  0.2570  0.8737  1 Cu 1.95, 1 Ru 2.02, 1 Np 2.13
O  0.7430  0.1263  0.3886  1 Cu 1.95, 1 Ru 2.02, 1 Np 2.13
O  0.8737  0.6114  0.2570  1 Cu 1.95, 1 Ru 2.02, 1 Np 2.13

Crystal system: trigonal
Energy relative to the elements, uncorrected: -1.4254 eV per atom
Density: 7.92 g/cm3

=====

Among the records above, which one has the lowest energy relative to the elements, uncorrected? NpCu2RuO6